Below is an optimized crystal structure of K2BeFe, with properties calculated at the PBE-GGA level.

Cell and atoms, written as POSCAR:
```
K2BeFe
1.0
3.297 0.000 0.000
0.000 3.289 -0.197
0.000 0.530 9.994
Be K Fe
1 2 1
Cartesian
0.000 1.574 6.171 Be
0.000 3.386 8.960 K
1.648 1.372 3.289 K
1.648 3.217 6.074 Fe
```

Calculated values
- N(E_F): 4.4 states/eV/f.u.
- Total moment: 2.008 μB per formula unit
- V: 108.73 Å³ per cell
- Formation enthalpy at 0 K: 671 meV/atom
- SG: No. 6

Below is an optimized crystal structure of ZrGeI3, with properties calculated at the PBE-GGA level.

Cell and atoms, written as POSCAR:
```
ZrGeI3
1.0
5.771 0.000 0.000
0.000 5.771 0.000
0.000 0.000 5.771
I Zr Ge
3 1 1
Cartesian
2.885 0.000 0.000 I
0.000 0.000 2.885 I
0.000 2.885 0.000 I
0.000 0.000 0.000 Zr
2.885 2.885 2.885 Ge
```

Calculated values
- N(E_F): 6.1 states/eV/f.u.
- Total moment: 2.995 μB per formula unit
- V: 192.19 Å³ per cell
- Raw formation energy: 0.08 eV/atom
- SG: No. 221

Below is an optimized crystal structure of KFeAuI5, with properties calculated at the PBE-GGA level.

Cell and atoms, written as POSCAR:
```
KFeAuI5
1.0
-1.181 7.094 -8.693
-0.514 -11.058 -2.177
-6.201 1.495 4.799
Au I Fe K
2 10 2 2
Cartesian
-3.101 0.747 2.400 Au
0.000 0.000 0.000 Au
-3.365 3.107 -3.874 I
-4.348 -0.658 -5.474 I
-1.152 -4.001 -6.942 I
-6.165 -4.323 1.461 I
-1.732 1.854 -7.532 I
-4.532 -5.576 -2.197 I
-5.774 6.644 -4.530 I
-2.122 -9.114 -1.541 I
-6.744 1.531 0.871 I
-3.548 -1.811 -0.597 I
-2.499 1.135 -5.220 Fe
-5.398 -3.604 -0.851 Fe
-2.341 -3.150 -3.682 K
-5.555 0.681 -2.389 K
```

Calculated values
- Total moment: 4.990 μB per formula unit
- V: 774.92 Å³ per cell
- Raw formation energy: -0.48 eV/atom
- SG: No. 15

Below is an optimized crystal structure of BaRu2, with properties calculated at the PBE-GGA level.

Cell and atoms, written as POSCAR:
```
BaRu2
1.0
4.458 -3.973 2.901
-1.603 -6.441 0.127
0.194 4.742 -4.642
Ru Ba
4 2
Cartesian
-0.127 -1.016 -3.373 Ru
1.245 -0.056 -1.365 Ru
1.804 -5.617 -0.249 Ru
3.175 -4.657 1.759 Ru
2.141 -7.811 2.271 Ba
0.714 -2.604 0.757 Ba
```

Calculated values
- N(E_F): 1.9 states/eV/f.u.
- Total moment: 0.000 μB per formula unit
- V: 141.67 Å³ per cell
- Formation enthalpy at 0 K: 512 meV/atom
- SG: No. 140

Below is an optimized crystal structure of YbZnO3, with properties calculated at the PBE-GGA level.

Cell and atoms, written as POSCAR:
```
YbZnO3
1.0
3.864 0.000 0.000
0.000 3.864 0.000
0.000 0.000 3.864
O Yb Zn
3 1 1
Cartesian
0.000 1.932 1.932 O
1.932 0.000 1.932 O
1.932 1.932 0.000 O
0.000 0.000 0.000 Yb
1.932 1.932 1.932 Zn
```

Calculated values
- N(E_F): 10.5 states/eV/f.u.
- Total moment: 0.710 μB per formula unit
- V: 57.68 Å³ per cell
- Raw formation energy: -1.57 eV/atom
- SG: No. 221

Below is an optimized crystal structure of CsIn2GaRh, with properties calculated at the PBE-GGA level.

Cell and atoms, written as POSCAR:
```
CsIn2GaRh
1.0
5.304 0.000 0.000
0.000 5.304 0.000
0.000 0.000 4.980
In Ga Rh Cs
2 1 1 1
Cartesian
0.000 2.652 0.000 In
2.652 0.000 0.000 In
0.000 0.000 2.490 Ga
0.000 0.000 0.000 Rh
2.652 2.652 2.490 Cs
```

Calculated values
- N(E_F): 3.5 states/eV/f.u.
- Total moment: 0.000 μB per formula unit
- V: 140.13 Å³ per cell
- Formation enthalpy at 0 K: -203 meV/atom
- SG: No. 123

Below is an optimized crystal structure of HoTmNi2, with properties calculated at the PBE-GGA level.

Cell and atoms, written as POSCAR:
```
HoTmNi2
1.0
-3.113 0.909 -2.156
-2.537 -2.772 -1.023
-5.184 0.471 4.167
Ni Tm Ho
2 1 1
Cartesian
-2.695 -0.352 0.226 Ni
-8.139 -1.039 0.762 Ni
0.000 0.000 0.000 Tm
-5.417 -0.696 0.494 Ho
```

Calculated values
- N(E_F): 2.7 states/eV/f.u.
- Total moment: 0.000 μB per formula unit
- V: 82.44 Å³ per cell
- Formation enthalpy at 0 K: -235 meV/atom
- SG: No. 166

Below is an optimized crystal structure of KAcSe2O6, with properties calculated at the PBE-GGA level.

Cell and atoms, written as POSCAR:
```
KAcSe2O6
1.0
-0.886 5.724 -0.762
-3.555 2.912 3.609
3.555 4.179 4.860
K O Se Ac
1 6 2 1
Cartesian
0.000 0.000 0.000 K
-2.688 5.499 4.566 O
-0.432 8.047 5.774 O
0.761 4.753 5.333 O
1.802 7.317 3.140 O
-1.647 8.062 2.373 O
-0.454 4.769 1.932 O
-0.220 9.726 6.125 Se
-0.666 3.089 1.581 Se
-0.443 6.408 3.853 Ac
```

Calculated values
- N(E_F): 0.0 states/eV/f.u.
- Total moment: 0.000 μB per formula unit
- V: 192.36 Å³ per cell
- Raw formation energy: -1.76 eV/atom
- SG: No. 148